# 1
A plane-wave DFT calculation with PBE was carried out for an optimized crystal structure of Cs4OsS5.

Geometry as extended XYZ:
```
10
Lattice="-1.8071 -4.8450 -4.3445 6.2442 -4.5135 -2.8134 -1.7887 -7.1919 3.5148" Properties=species:S:1:pos:R:3 pbc="T T T"
Cs 0.0704 -4.7624 0.0117
Cs 0.3761 -9.5817 0.0093
Cs 2.5710 -11.8069 -3.6717
Cs 2.2653 -6.9876 -3.6694
S -1.5636 -11.9298 -1.7741
S -0.7495 -2.0096 -1.8020
S -1.0572 -6.3954 -2.9069
S 4.2191 -4.6018 -1.8522
S 3.7127 -10.1361 -0.7193
Os -0.1726 -0.4626 -0.4149
```

- energy relative to the elements, uncorrected (eV/atom) = -0.666
- symmetry = I4, No. 79


# 2
A plane-wave DFT calculation with PBE was carried out for an optimized crystal structure of CuSi2Te.

Geometry as extended XYZ:
```
8
Lattice="5.6814 0.0000 0.0000 0.0000 5.6814 0.0000 2.8407 2.8407 5.7981" Properties=species:S:1:pos:R:3 pbc="T T T"
Te 0.0000 0.0000 0.0000
Te 5.6814 2.8407 2.8991
Si 1.8007 4.2611 1.4495
Si 7.1018 6.7215 4.3486
Si 4.2611 4.6414 4.3486
Si 3.8808 1.4204 1.4495
Cu 2.8407 5.6814 2.8991
Cu 2.8407 2.8407 0.0000
```

- energy relative to the elements, uncorrected (eV/atom) = 0.335
- symmetry = I-42d, No. 122